Compound: In2Rh2Au
Source: Alexandria
Functional: PBE
Structure: relaxed

Results
formation energy	-0.17	eV/atom
M_tot	0.000	μB per formula unit
crystal system	tetragonal

a = 7.655 Å, b = 7.655 Å, c = 3.094 Å
α = 90.00°, β = 90.00°, γ = 90.00°
Space group P4/mbm (No. 127)
Inequivalent atoms, fractional coordinates:
1 In 0.150 0.350 0.000 (multiplicity 4)
2 Rh 0.146 0.646 0.500 (multiplicity 4)
3 Au 0.000 0.000 0.000 (multiplicity 2)